VASP calculation (PBE) on crystalline AlNi2Br at its relaxed geometry.

The structure in extended XYZ format:
```
4
Lattice="6.3701 0.1902 0.0906 5.1702 3.7260 0.0906 0.7111 0.2413 3.0324" Properties=species:S:1:pos:R:3 pbc="T T T"
Ni 10.2096 3.4647 2.5388
Br 2.9931 1.0157 2.8390
Ni 11.6255 3.9451 0.5615
Al 5.8002 1.9683 2.0948
```

Computed properties:
ΔE_f (raw) in eV per atom: -0.056
Calculated density in g cm⁻³: 5.42
Energy in eV for the cell shown: -17.2
Total magnetic moment in Bohr magnetons per cell: 0.32
SG: Cm